Record 1
Below is an optimized crystal structure of SnBi, with properties calculated at the PBE level.

POSCAR file:
```
SnBi
1.0
8.641 0.000 0.000
0.000 8.641 0.000
0.000 0.000 8.641
Sn Bi
6 6
Direct
0.000 0.250 0.500
0.000 0.750 0.500
0.250 0.500 0.000
0.500 0.000 0.250
0.500 0.000 0.750
0.750 0.500 0.000
0.000 0.500 0.250
0.000 0.500 0.750
0.250 0.000 0.500
0.500 0.250 0.000
0.500 0.750 0.000
0.750 0.000 0.500
```

Computed properties:
Energy of formation from the pure elements = 0.26 eV per atom
Space-group type = No. 223

Record 2
Below is an optimized crystal structure of Ba4PtPb, with properties calculated at the PBE level.

POSCAR file:
```
Ba4PtPb
1.0
5.318 -7.663 0.000
5.318 7.663 0.000
-4.087 0.000 6.488
Ba Pt Pb
8 2 2
Direct
0.056 0.715 0.919
0.225 0.348 0.708
0.285 0.944 0.581
0.348 0.225 0.208
0.652 0.775 0.792
0.715 0.056 0.419
0.775 0.652 0.292
0.944 0.285 0.081
0.000 0.000 0.250
0.000 0.000 0.750
0.365 0.635 0.250
0.635 0.365 0.750
```

Computed properties:
Energy of formation from the pure elements = -0.49 eV per atom
Space-group type = No. 15
Excess energy over the best structure of this formula in the dataset = 0 meV/atom

Record 3
Below is an optimized crystal structure of KCr3Re, with properties calculated at the PBE level.

POSCAR file:
```
KCr3Re
1.0
4.859 0.000 0.000
0.000 4.859 0.000
0.000 0.000 4.859
K Cr Re
1 3 1
Direct
0.000 0.000 0.000
0.000 0.500 0.500
0.500 0.000 0.500
0.500 0.500 0.000
0.500 0.500 0.500
```

Computed properties:
Energy of formation from the pure elements = 1.27 eV per atom
Space-group type = No. 221
Excess energy over the best structure of this formula in the dataset = 0 meV/atom

Number 1: magnetization 0.0 μB per formula unit. Number 2: magnetization 0.0 μB per formula unit. Number 3: magnetization 8.9 μB per formula unit.